# 1
A plane-wave DFT calculation with PBE was carried out for a relaxed DyYNb2Sn2 crystal.

a = 4.1905 Å, b = 4.1905 Å, c = 8.1858 Å
α = 90.00°, β = 90.00°, γ = 90.00°
Last column: nearest neighbours and their distance in Å.
Element x y z (fractional)
Dy: 0.0000 0.0000 0.0000  5 Sn 3.08-3.25
Y: 0.5000 0.5000 0.2936  5 Sn 3.08-3.24
Nb: 0.0000 0.5000 0.6470  4 Sn 2.93, 4 Nb 2.96
Nb: 0.5000 0.0000 0.6470  4 Sn 2.93, 4 Nb 2.96
Sn: 0.0000 0.0000 0.3967  4 Nb 2.93, 4 Y 3.08, 1 Dy 3.25
Sn: 0.5000 0.5000 0.8974  4 Nb 2.93, 4 Dy 3.08, 1 Y 3.24


# 2
A plane-wave DFT calculation with PBE was carried out for a relaxed ScGeOs crystal.

a = 7.2777 Å, b = 7.2777 Å, c = 3.2754 Å
α = 90.00°, β = 90.00°, γ = 120.00°
Last column: nearest neighbours and their distance in Å.
Element x y z (fractional)
Sc: 0.0000 0.6113 0.0000  5 Os 2.78-2.83, 6 Ge 2.92-3.01
Sc: 0.3887 0.3887 0.0000  5 Os 2.78-2.83, 6 Ge 2.92-3.01
Sc: 0.6113 0.0000 0.0000  5 Os 2.78-2.83, 6 Ge 2.92-3.01
Ge: 0.0000 0.2799 0.5000  4 Os 2.61-2.64, 2 Sc 2.92
Ge: 0.2799 0.0000 0.5000  4 Os 2.61-2.64, 2 Sc 2.92
Ge: 0.7201 0.7201 0.5000  4 Os 2.61-2.64, 2 Sc 2.92
Os: 0.0000 0.0000 0.0000  6 Ge 2.61, 3 Sc 2.83
Os: 0.3333 0.6667 0.5000  3 Ge 2.64, 6 Sc 2.78
Os: 0.6667 0.3333 0.5000  3 Ge 2.64, 6 Sc 2.78


# 3
A plane-wave DFT calculation with PBE was carried out for a relaxed Sm2Zn crystal.

a = 6.2893 Å, b = 6.2893 Å, c = 6.2893 Å
α = 60.00°, β = 60.00°, γ = 60.00°
Last column: nearest neighbours and their distance in Å.
Element x y z (fractional)
Sm: 0.0000 0.0000 0.0000  6 Sm 3.14
Sm: 0.0000 0.0000 0.5000  6 Sm 3.14
Sm: 0.0000 0.5000 0.0000  6 Sm 3.14
Sm: 0.5000 0.0000 0.0000  6 Sm 3.14
Zn: 0.3750 0.3750 0.3750  12 Sm 3.69, 4 Zn 3.85
Zn: 0.6250 0.6250 0.6250  12 Sm 3.69, 4 Zn 3.85


Number 1: calculated total energy -6.993 eV per atom. Number 2: calculated total energy -7.867 eV per atom. Number 3: calculated total energy -3.101 eV per atom.